No. 1
Material: MnCo2AgHg
Method: DFT, PBE
State: optimized geometry

The structure in CIF format:
```
data_MnCo2AgHg
_cell_length_a 4.780
_cell_length_b 4.780
_cell_length_c 4.971
_cell_angle_alpha 90.00
_cell_angle_beta 90.00
_cell_angle_gamma 90.00
_space_group_name_H-M_alt 'P 4/m m m'
_space_group_IT_number 123
_space_group_name_Hall '-P 4 2'
loop_
_atom_site_label
_atom_site_type_symbol
_atom_site_fract_x
_atom_site_fract_y
_atom_site_fract_z
Mn1 Mn 0.000 0.000 0.000
Co1 Co 0.000 0.500 0.500
Ag1 Ag 0.500 0.500 0.000
Hg1 Hg 0.000 0.000 0.500
```

***

No. 2
Material: CoAgHgOs2
Method: DFT, PBE
State: optimized geometry

The structure in CIF format:
```
data_CoAgHgOs2
_cell_length_a 4.996
_cell_length_b 4.996
_cell_length_c 4.966
_cell_angle_alpha 90.00
_cell_angle_beta 90.00
_cell_angle_gamma 90.00
_space_group_name_H-M_alt 'P 4/m m m'
_space_group_IT_number 123
_space_group_name_Hall '-P 4 2'
loop_
_atom_site_label
_atom_site_type_symbol
_atom_site_fract_x
_atom_site_fract_y
_atom_site_fract_z
Co1 Co 0.000 0.000 0.000
Ag1 Ag 0.500 0.500 0.000
Hg1 Hg 0.500 0.500 0.500
Os1 Os 0.000 0.500 0.500
```

***

No. 3
Material: CoAgHg2Pd
Method: DFT, PBE
State: optimized geometry

The structure in CIF format:
```
data_CoAgHg2Pd
_cell_length_a 5.133
_cell_length_b 5.133
_cell_length_c 5.105
_cell_angle_alpha 90.00
_cell_angle_beta 90.00
_cell_angle_gamma 90.00
_space_group_name_H-M_alt 'P 4/m m m'
_space_group_IT_number 123
_space_group_name_Hall '-P 4 2'
loop_
_atom_site_label
_atom_site_type_symbol
_atom_site_fract_x
_atom_site_fract_y
_atom_site_fract_z
Co1 Co 0.000 0.000 0.000
Ag1 Ag 0.500 0.500 0.000
Hg1 Hg 0.000 0.500 0.500
Pd1 Pd 0.500 0.500 0.500
```

***

No. 4
Material: Th2CoAgHg
Method: DFT, PBE
State: optimized geometry

The structure in CIF format:
```
data_Th2CoAgHg
_cell_length_a 7.740
_cell_length_b 3.919
_cell_length_c 8.839
_cell_angle_alpha 90.00
_cell_angle_beta 114.77
_cell_angle_gamma 90.00
_space_group_name_H-M_alt 'P 1 21/m 1'
_space_group_IT_number 11
_space_group_name_Hall '-P 2yb'
loop_
_atom_site_label
_atom_site_type_symbol
_atom_site_fract_x
_atom_site_fract_y
_atom_site_fract_z
Th1 Th 0.029 0.250 0.193
Th2 Th 0.443 0.750 0.154
Co1 Co 0.230 0.250 0.961
Ag1 Ag 0.127 0.250 0.609
Hg1 Hg 0.337 0.750 0.486
```

***

No. 5
Material: Ho3Co2Ag
Method: DFT, PBE
State: optimized geometry

The structure in CIF format:
```
data_Ho3Co2Ag
_cell_length_a 3.334
_cell_length_b 3.334
_cell_length_c 10.853
_cell_angle_alpha 90.00
_cell_angle_beta 90.00
_cell_angle_gamma 90.00
_space_group_name_H-M_alt 'P 4/m m m'
_space_group_IT_number 123
_space_group_name_Hall '-P 4 2'
loop_
_atom_site_label
_atom_site_type_symbol
_atom_site_fract_x
_atom_site_fract_y
_atom_site_fract_z
Ho1 Ho 0.000 0.000 0.000
Ho2 Ho 0.000 0.000 0.305
Co1 Co 0.500 0.500 0.158
Ag1 Ag 0.500 0.500 0.500
```

***

No. 6
Material: Ho8Co3Ag2
Method: DFT, PBE
State: optimized geometry

The structure in CIF format:
```
data_Ho8Co3Ag2
_cell_length_a 8.585
_cell_length_b 4.716
_cell_length_c 8.642
_cell_angle_alpha 90.00
_cell_angle_beta 112.68
_cell_angle_gamma 90.00
_space_group_name_H-M_alt 'P 1 2/m 1'
_space_group_IT_number 10
_space_group_name_Hall '-P 2y'
loop_
_atom_site_label
_atom_site_type_symbol
_atom_site_fract_x
_atom_site_fract_y
_atom_site_fract_z
Ho1 Ho 0.109 0.000 0.387
Ho2 Ho 0.142 0.500 0.870
Ho3 Ho 0.362 0.500 0.642
Ho4 Ho 0.389 0.000 0.114
Co1 Co 0.250 0.000 0.753
Co2 Co 0.500 0.500 0.000
Ag1 Ag 0.247 0.500 0.257
```

***

No. 7
# Ho4CoAg (PBE, optimized geometry)
# * distance to the lowest polymorph of the same formula: 0.0000 eV/atom
data_Ho4CoAg
_cell_length_a 13.226
_cell_length_b 13.226
_cell_length_c 13.226
_cell_angle_alpha 90.00
_cell_angle_beta 90.00
_cell_angle_gamma 90.00
_space_group_name_H-M_alt 'F -4 3 m'
_space_group_IT_number 216
_space_group_name_Hall 'F -4 2 3'
loop_
_atom_site_label
_atom_site_type_symbol
_atom_site_fract_x
_atom_site_fract_y
_atom_site_fract_z
Ho1 Ho 0.000 0.000 0.188
Ho2 Ho 0.062 0.250 0.250
Ho3 Ho 0.152 0.152 0.652
Co1 Co 0.141 0.141 0.859
Ag1 Ag 0.081 0.081 0.419

***

No. 8
Material: Ho4CoAg3
Method: DFT, PBE
State: optimized geometry

The structure in CIF format:
```
data_Ho4CoAg3
_cell_length_a 3.515
_cell_length_b 3.515
_cell_length_c 14.490
_cell_angle_alpha 90.00
_cell_angle_beta 90.00
_cell_angle_gamma 90.00
_space_group_name_H-M_alt 'P 4/m m m'
_space_group_IT_number 123
_space_group_name_Hall '-P 4 2'
loop_
_atom_site_label
_atom_site_type_symbol
_atom_site_fract_x
_atom_site_fract_y
_atom_site_fract_z
Ho1 Ho 0.000 0.000 0.111
Ho2 Ho 0.000 0.000 0.371
Co1 Co 0.500 0.500 0.000
Ag1 Ag 0.500 0.500 0.243
Ag2 Ag 0.500 0.500 0.500
```

***

No. 9
Material: Ho6CoAg2
Method: DFT, PBE
State: optimized geometry

The structure in CIF format:
```
data_Ho6CoAg2
_cell_length_a 6.643
_cell_length_b 7.307
_cell_length_c 11.682
_cell_angle_alpha 90.00
_cell_angle_beta 121.86
_cell_angle_gamma 90.00
_space_group_name_H-M_alt 'P 1 21/c 1'
_space_group_IT_number 14
_space_group_name_Hall '-P 2ybc'
loop_
_atom_site_label
_atom_site_type_symbol
_atom_site_fract_x
_atom_site_fract_y
_atom_site_fract_z
Ho1 Ho 0.131 0.190 0.450
Ho2 Ho 0.279 0.685 0.446
Ho3 Ho 0.368 0.015 0.249
Co1 Co 0.000 0.000 0.000
Ag1 Ag 0.193 0.104 0.746
```

***

No. 10
Material: Ho5Co4Ag
Method: DFT, PBE
State: optimized geometry

The structure in CIF format:
```
data_Ho5Co4Ag
_cell_length_a 3.330
_cell_length_b 3.330
_cell_length_c 17.491
_cell_angle_alpha 90.00
_cell_angle_beta 90.00
_cell_angle_gamma 90.00
_space_group_name_H-M_alt 'P 4/m m m'
_space_group_IT_number 123
_space_group_name_Hall '-P 4 2'
loop_
_atom_site_label
_atom_site_type_symbol
_atom_site_fract_x
_atom_site_fract_y
_atom_site_fract_z
Ho1 Ho 0.000 0.000 0.000
Ho2 Ho 0.000 0.000 0.189
Ho3 Ho 0.000 0.000 0.378
Co1 Co 0.500 0.500 0.095
Co2 Co 0.500 0.500 0.288
Ag1 Ag 0.500 0.500 0.500
```

***

No. 11
Material: Ho12CoAg6
Method: DFT, PBE
State: optimized geometry

The structure in CIF format:
```
data_Ho12CoAg6
_cell_length_a 11.6752
_cell_length_b 11.6752
_cell_length_c 13.0008
_cell_angle_alpha 90.00
_cell_angle_beta 90.00
_cell_angle_gamma 120.00
_space_group_name_H-M_alt 'R -3'
_space_group_IT_number 148
_space_group_name_Hall '-R 3'
loop_
_atom_site_label
_atom_site_type_symbol
_atom_site_fract_x
_atom_site_fract_y
_atom_site_fract_z
Ho1 Ho 0.0313 0.1881 0.3784
Ho2 Ho 0.0382 0.8471 0.8893
Co1 Co 0.0000 0.0000 0.5000
Ag1 Ag 0.0021 0.6069 0.7569
```

***

No. 12
Material: Ho5CoAg4
Method: DFT, PBE
State: optimized geometry

The structure in CIF format:
```
data_Ho5CoAg4
_cell_length_a 3.527
_cell_length_b 3.527
_cell_length_c 18.209
_cell_angle_alpha 90.00
_cell_angle_beta 90.00
_cell_angle_gamma 90.00
_space_group_name_H-M_alt 'P 4/m m m'
_space_group_IT_number 123
_space_group_name_Hall '-P 4 2'
loop_
_atom_site_label
_atom_site_type_symbol
_atom_site_fract_x
_atom_site_fract_y
_atom_site_fract_z
Ho1 Ho 0.000 0.000 0.000
Ho2 Ho 0.000 0.000 0.205
Ho3 Ho 0.000 0.000 0.412
Co1 Co 0.500 0.500 0.500
Ag1 Ag 0.500 0.500 0.102
Ag2 Ag 0.500 0.500 0.307
```

***

No. 13
Material: HoCo4Ag
Method: DFT, PBE
State: optimized geometry

The structure in CIF format:
```
data_HoCo4Ag
_cell_length_a 7.015
_cell_length_b 7.015
_cell_length_c 7.015
_cell_angle_alpha 90.00
_cell_angle_beta 90.00
_cell_angle_gamma 90.00
_space_group_name_H-M_alt 'F -4 3 m'
_space_group_IT_number 216
_space_group_name_Hall 'F -4 2 3'
loop_
_atom_site_label
_atom_site_type_symbol
_atom_site_fract_x
_atom_site_fract_y
_atom_site_fract_z
Ho1 Ho 0.000 0.000 0.000
Co1 Co 0.125 0.125 0.375
Ag1 Ag 0.250 0.250 0.750
```

***

Table of electronic total energy (eV per atom), in record order: -3.800 -3.714 -2.193 -5.235 -5.371 -4.997 -4.955 -4.529 -4.627 -5.628 -4.276 -4.430 -6.039
Table of DOS at the Fermi energy (states/eV per atom), in record order: 2.078 1.070 1.402 0.721 0.431 0.987 1.042 0.666 1.097 0.440 1.065 0.589 1.095